[1]
The following is a PBE-GGA calculation of a geometry-optimized CsSn2RuF structure, from the Alexandria database.

```
CsSn2RuF
1.0
-1.315 -4.776 -0.518
6.762 -1.428 -4.000
2.300 -1.097 4.280
Cs F Ru Sn
1 1 1 2
direct
0.500 0.500 0.500 Cs
0.000 0.500 0.000 F
0.000 0.000 0.000 Ru
0.500 0.000 0.000 Sn
0.000 0.000 0.500 Sn
```

- formation energy from raw total energies (kcal/mol of atoms) = -7.93

[2]
The following is a PBE-GGA calculation of a geometry-optimized LiCa2FeOs structure, from the Alexandria database.

```
LiCa2FeOs
1.0
4.941 0.000 0.000
0.000 4.261 0.000
0.000 0.000 4.941
Ca Li Fe Os
2 1 1 1
direct
0.000 0.000 0.500 Ca
0.500 0.000 0.000 Ca
0.000 0.000 0.000 Li
0.500 0.500 0.500 Fe
0.000 0.500 0.000 Os
```

- energy of formation (eV per atom) = 1.3150

[3]
The following is a PBE-GGA calculation of a geometry-optimized BC2 structure, from the Alexandria database.

```
BC2
1.0
4.421 0.021 -1.350
2.839 3.290 -1.320
-0.026 0.035 5.314
C B
8 4
direct
0.263 0.730 0.745 C
0.671 0.683 0.325 C
0.897 0.434 0.082 C
0.351 0.326 0.665 C
0.572 0.076 0.902 C
0.996 0.991 0.512 C
0.654 0.671 0.837 C
0.593 0.089 0.426 C
0.979 0.010 0.978 B
0.275 0.770 0.297 B
0.327 0.306 0.149 B
0.922 0.413 0.581 B
```

- energy of formation (eV per atom) = 0.3429
- ΔE to the lowest computed polymorph (eV per atom) = 0.103

[4]
The following is a PBE-GGA calculation of a geometry-optimized Na2CoOs structure, from the Alexandria database.

```
Na2CoOs
1.0
-3.798 1.627 2.143
-0.905 4.566 -0.014
-3.555 1.661 -2.505
Na Co Os
2 1 1
direct
0.250 0.250 0.250 Na
0.750 0.750 0.750 Na
0.000 0.000 0.000 Co
0.500 0.500 0.500 Os
```

- energy of formation (eV per atom) = 1.5720
- ΔE to the lowest computed polymorph (eV per atom) = 0.180

[5]
The following is a PBE-GGA calculation of a geometry-optimized CaMnBPd2 structure, from the Alexandria database.

```
CaMnBPd2
1.0
-3.581 0.257 -2.516
-1.728 -2.957 2.158
-1.700 2.983 2.726
Mn Ca Pd B
1 1 2 1
direct
0.000 0.500 0.000 Mn
0.500 0.500 0.500 Ca
0.000 0.000 0.500 Pd
0.500 0.000 0.000 Pd
0.000 0.000 0.000 B
```

- energy of formation (eV per atom) = -0.2729

[6]
The following is a PBE-GGA calculation of a geometry-optimized NdTm2Pu structure, from the Alexandria database.

```
NdTm2Pu
1.0
3.509 0.000 0.000
0.000 3.509 0.000
0.000 0.000 9.932
Tm Pu Nd
2 1 1
direct
0.000 0.000 0.239 Tm
0.000 0.000 0.761 Tm
0.500 0.500 0.000 Pu
0.500 0.500 0.500 Nd
```

- energy of formation (eV per atom) = 0.0951
- ΔE to the lowest computed polymorph (eV per atom) = 0.000

[7]
The following is a PBE-GGA calculation of a geometry-optimized Ti3Os structure, from the Alexandria database.

```
Ti3Os
1.0
4.457 0.000 0.000
2.228 3.859 0.000
2.228 1.286 3.639
Ti Os
3 1
direct
0.500 0.500 0.500 Ti
0.750 0.750 0.750 Ti
0.250 0.250 0.250 Ti
0.000 0.000 0.000 Os
```

- energy of formation (eV per atom) = -0.3462

[8]
The following is a PBE-GGA calculation of a geometry-optimized YHgBr2F structure, from the Alexandria database.

```
YHgBr2F
1.0
5.714 0.000 0.000
0.000 5.714 0.000
0.000 0.000 4.421
Br Y Hg F
2 1 1 1
direct
0.500 0.000 0.000 Br
0.000 0.500 0.000 Br
0.000 0.000 0.000 Y
0.500 0.500 0.500 Hg
0.000 0.000 0.500 F
```

- formation energy from raw total energies (kcal/mol of atoms) = -44.96

[9]
The following is a PBE-GGA calculation of a geometry-optimized InWAu2 structure, from the Alexandria database.

```
InWAu2
1.0
6.068 0.034 -0.001
3.273 5.110 0.001
-3.960 -3.862 2.495
In Au W
1 2 1
direct
0.750 0.250 0.500 In
0.475 0.475 0.000 Au
0.025 0.025 0.000 Au
0.250 0.750 0.500 W
```

- energy of formation (eV per atom) = 0.4336

[10]
The following is a PBE-GGA calculation of a geometry-optimized Na5CdSb2 structure, from the Alexandria database.

```
Na5CdSb2
1.0
5.415 0.000 0.000
-2.707 4.689 0.000
0.000 0.000 19.530
Na Sb Cd
10 4 2
direct
0.333 0.667 0.750 Na
0.000 0.000 0.857 Na
0.000 0.000 0.643 Na
0.667 0.333 0.444 Na
0.333 0.667 0.944 Na
0.000 0.000 0.143 Na
0.667 0.333 0.250 Na
0.333 0.667 0.556 Na
0.667 0.333 0.056 Na
0.000 0.000 0.357 Na
0.333 0.667 0.391 Sb
0.667 0.333 0.891 Sb
0.667 0.333 0.609 Sb
0.333 0.667 0.109 Sb
0.333 0.667 0.250 Cd
0.667 0.333 0.750 Cd
```

- formation energy from raw total energies (kcal/mol of atoms) = -7.00

[11]
The following is a PBE-GGA calculation of a geometry-optimized InH2Cl structure, from the Alexandria database.

```
InH2Cl
1.0
0.000 3.147 3.147
3.147 0.000 3.147
3.147 3.147 0.000
H In Cl
2 1 1
direct
0.250 0.250 0.250 H
0.750 0.750 0.750 H
0.500 0.500 0.500 In
0.000 0.000 0.000 Cl
```

- ΔE to the lowest computed polymorph (eV per atom) = 0.624

[12]
The following is a PBE-GGA calculation of a geometry-optimized LaBi3Br structure, from the Alexandria database.

```
LaBi3Br
1.0
6.201 0.000 0.000
0.000 6.201 0.000
0.000 0.000 6.201
Bi La Br
3 1 1
direct
0.000 0.500 0.000 Bi
0.500 0.000 0.000 Bi
0.000 0.000 0.500 Bi
0.000 0.000 0.000 La
0.500 0.500 0.500 Br
```

- formation energy from raw total energies (kcal/mol of atoms) = 8.91
- ΔE to the lowest computed polymorph (eV per atom) = 0.244

[13]
The following is a PBE-GGA calculation of a geometry-optimized LiSb2Ir2 structure, from the Alexandria database.

```
LiSb2Ir2
1.0
-1.026 -2.410 3.234
4.033 -0.659 0.788
1.590 3.666 5.913
Li Sb Ir
1 2 2
direct
0.000 0.000 0.000 Li
0.628 0.628 0.745 Sb
0.372 0.372 0.255 Sb
0.750 0.250 0.500 Ir
0.250 0.750 0.500 Ir
```

- formation energy from raw total energies (kcal/mol of atoms) = -3.12
- ΔE to the lowest computed polymorph (eV per atom) = 0.000

[14]
The following is a PBE-GGA calculation of a geometry-optimized KTc2Ir structure, from the Alexandria database.

```
KTc2Ir
1.0
-6.062 -6.487 5.778
-3.588 -7.488 6.579
-4.692 -5.290 7.888
K Tc Ir
1 2 1
direct
0.750 0.750 0.750 K
0.986 0.986 0.986 Tc
0.514 0.514 0.514 Tc
0.250 0.250 0.250 Ir
```

- energy of formation (eV per atom) = 0.7062
- ΔE to the lowest computed polymorph (eV per atom) = 0.104

[15]
The following is a PBE-GGA calculation of a geometry-optimized Hg2Br3 structure, from the Alexandria database.

```
Hg2Br3
1.0
-8.070 6.149 2.163
-9.696 2.260 2.915
-7.384 4.233 5.930
Br Hg
3 2
direct
0.778 0.778 0.778 Br
0.000 0.000 0.000 Br
0.222 0.222 0.222 Br
0.605 0.605 0.605 Hg
0.395 0.395 0.395 Hg
```

- formation energy from raw total energies (kcal/mol of atoms) = -5.89
- ΔE to the lowest computed polymorph (eV per atom) = 0.006

[16]
The following is a PBE-GGA calculation of a geometry-optimized Ac4Ag5Hg3 structure, from the Alexandria database.

```
Ac4Ag5Hg3
1.0
5.084 0.000 0.000
2.542 7.774 -0.455
2.542 1.978 9.216
Ac Ag Hg
4 5 3
direct
0.736 0.269 0.258 Ac
0.264 0.731 0.742 Ac
0.025 0.771 0.180 Ac
0.975 0.229 0.820 Ac
0.404 0.074 0.118 Ag
0.596 0.926 0.882 Ag
0.500 0.500 0.500 Ag
0.281 0.422 0.016 Ag
0.719 0.578 0.984 Ag
0.677 0.058 0.589 Hg
0.000 0.500 0.500 Hg
0.323 0.942 0.411 Hg
```

- energy of formation (eV per atom) = -0.1956

[17]
The following is a PBE-GGA calculation of a geometry-optimized Ta2Be3 structure, from the Alexandria database.

```
Ta2Be3
1.0
-1.773 -1.049 2.308
2.579 -2.316 0.929
5.213 8.046 5.589
Ta Be
4 6
direct
0.428 0.250 0.857 Ta
0.290 0.750 0.580 Ta
0.572 0.750 0.143 Ta
0.710 0.250 0.420 Ta
0.977 0.750 0.953 Be
0.168 0.750 0.336 Be
0.023 0.250 0.047 Be
0.117 0.250 0.235 Be
0.883 0.750 0.765 Be
0.832 0.250 0.664 Be
```

- energy of formation (eV per atom) = -0.1893

[18]
The following is a PBE-GGA calculation of a geometry-optimized Sr2YCd12Hg3 structure, from the Alexandria database.

```
Sr2YCd12Hg3
1.0
8.702 -0.805 -0.571
3.597 7.964 -0.571
3.597 2.094 7.705
Cd Hg Y Sr
12 3 1 2
direct
0.156 0.624 0.156 Cd
0.844 0.844 0.376 Cd
0.703 0.703 0.180 Cd
0.297 0.297 0.820 Cd
0.180 0.703 0.703 Cd
0.624 0.156 0.156 Cd
0.703 0.180 0.703 Cd
0.844 0.376 0.844 Cd
0.820 0.297 0.297 Cd
0.297 0.820 0.297 Cd
0.156 0.156 0.624 Cd
0.376 0.844 0.844 Cd
0.000 0.500 0.000 Hg
0.500 0.000 0.000 Hg
0.000 0.000 0.500 Hg
0.000 0.000 0.000 Y
0.405 0.405 0.405 Sr
0.595 0.595 0.595 Sr
```

- energy of formation (eV per atom) = 0.0907

[19]
The following is a PBE-GGA calculation of a geometry-optimized NaCuHgSe2 structure, from the Alexandria database.

```
NaCuHgSe2
1.0
-1.512 0.546 -4.734
2.083 -6.344 -1.397
-7.165 -0.984 2.175
Se Hg Cu Na
4 2 2 2
direct
0.285 0.266 0.054 Se
0.285 0.734 0.446 Se
0.715 0.266 0.554 Se
0.715 0.734 0.946 Se
0.525 0.000 0.250 Hg
0.475 0.000 0.750 Hg
0.000 0.000 0.000 Cu
0.000 0.000 0.500 Cu
0.792 0.500 0.250 Na
0.208 0.500 0.750 Na
```

- formation energy from raw total energies (kcal/mol of atoms) = -9.52

[20]
The following is a PBE-GGA calculation of a geometry-optimized Er4GaTe2Pb structure, from the Alexandria database.

```
Er4GaTe2Pb
1.0
4.249 0.000 0.000
0.000 7.270 0.102
0.000 -2.573 7.319
Te Er Pb Ga
2 4 1 1
direct
0.500 0.000 0.500 Te
0.000 0.500 0.500 Te
0.000 0.734 0.234 Er
0.500 0.256 0.239 Er
0.500 0.744 0.761 Er
0.000 0.266 0.766 Er
0.000 0.000 0.000 Pb
0.500 0.500 0.000 Ga
```

- formation energy from raw total energies (kcal/mol of atoms) = -20.08